A relaxed Sr2USb3 crystal, computed with PBE.

a = 7.9968 Å, b = 7.9968 Å, c = 8.0180 Å
α = 99.61°, β = 99.61°, γ = 120.03°
Element x y z (fractional)
Sr: 0.4925 0.5075 0.5000
Sr: 0.8333 0.1667 0.5000
Sr: 0.3333 0.6667 0.0000
Sr: 0.1742 0.8258 0.5000
Sb: 0.7657 0.7419 0.2228
Sb: 0.6166 0.9499 0.7797
Sb: 0.0501 0.3834 0.2203
Sb: 0.2581 0.2343 0.7772
Sb: 0.9010 0.5914 0.7772
Sb: 0.4086 0.0990 0.2228
U: 0.0013 0.9987 0.0000
U: 0.6653 0.3347 0.0000

## Properties
The calculation puts the raw formation energy at -0.700 eV/atom.